Entry 1:
VASP calculation (PBE-GGA) on crystalline Tb2Pm7 at its relaxed geometry.

Cell: 9.9333 9.9333 3.5651 Å, 90.00 90.00 120.00°
Sites, in units of the cell vectors:
1 Tb 0.3333 0.6667 0.0000
2 Tb 0.6667 0.3333 0.0000
3 Pm 0.0000 0.0000 0.5000
4 Pm 0.0000 0.3084 0.0000
5 Pm 0.0000 0.6407 0.5000
6 Pm 0.3084 0.0000 0.0000
7 Pm 0.3593 0.3593 0.5000
8 Pm 0.6407 0.0000 0.5000
9 Pm 0.6916 0.6916 0.0000

Magnetic moment: 0.000 μB per formula unit
Energy above the lowest structure with this stoichiometry: 25 meV/atom
Energy relative to the elements: 38.9 meV/atom
Crystal system: hexagonal
Electronic total energy: -4.685 eV/atom

---

Entry 2:
VASP calculation (PBE-GGA) on crystalline KMgO at its relaxed geometry.

Cell: 3.9849 3.9837 10.6080 Å, 90.00 90.05 90.00°
Sites, in units of the cell vectors:
1 K 0.2490 0.2500 0.1796
2 K 0.7510 0.7500 0.8204
3 Mg 0.2500 0.7500 0.4999
4 Mg 0.7500 0.2500 0.5001
5 O 0.2499 0.2500 0.4557
6 O 0.7501 0.7500 0.5443

Magnetic moment: 0.000 μB per formula unit
Crystal system: monoclinic
Electronic total energy: -4.102 eV/atom
Uncorrected formation energy: -1552 meV/atom